DFT (PBE-GGA) results for a relaxed KIr2W crystal.

## Properties
DFT formation energy   0.74 eV per atom
Energy above the lowest structure with this stoichiometry   464 meV/atom
Spin magnetization   0.0000 μB/atom
DOS(E_F)   0.87 states/eV/atom
Electronic total energy   -57.613 eV/cell

a b c (Å): 2.7080 5.0496 10.7797
angles (deg): 90.00 90.00 90.00
Space group Imm2 (No. 44)
Inequivalent atoms, fractional coordinates:
K (0.0000, 0.0000, 0.0000)
Ir (0.0000, 0.0000, 0.5014)
Ir (0.0000, 0.5000, 0.2161)
W (0.0000, 0.5000, 0.7919)